Entry 1:
First-principles (PBE+U) data for an optimized crystal structure of AlCrIO2, as listed in Alexandria via LeMat-Bulk.

The structure in POSCAR format:
```
AlCrIO2
1.0
3.7652 0.0000 0.0000
0.0000 3.7652 0.0000
0.0000 0.0000 6.1543
Al Cr I O
1 1 1 2
direct
0.0000 0.0000 0.0000 Al
0.5000 0.5000 0.5000 Cr
0.0000 0.0000 0.5000 I
0.0000 0.5000 0.0000 O
0.5000 0.0000 0.0000 O
```

Calculated values
- Volume: 87.2 Å³/cell
- Crystal system: tetragonal
- Calculated total energy: -5.4954 eV/atom
- Theoretical density: 4.5 g/cm3


Entry 2:
First-principles (PBE+U) data for an optimized crystal structure of AlCrI2O, as listed in Alexandria via LeMat-Bulk.

The structure in POSCAR format:
```
AlCrI2O
1.0
5.7775 0.0000 0.0000
0.0000 5.7775 0.0000
0.0000 0.0000 3.5245
Al Cr I O
1 1 2 1
direct
0.0000 0.0000 0.0000 Al
0.5000 0.5000 0.5000 Cr
0.0000 0.5000 0.0000 I
0.5000 0.0000 0.0000 I
0.0000 0.0000 0.5000 O
```

Calculated values
- Volume: 117.6 Å³/cell
- Crystal system: tetragonal
- Calculated total energy: -4.6048 eV/atom
- Theoretical density: 4.9 g/cm3


Entry 3:
First-principles (PBE+U) data for an optimized crystal structure of AlCrI2O, as listed in Alexandria via LeMat-Bulk.

The structure in POSCAR format:
```
AlCrI2O
1.0
5.8526 0.0000 0.0000
0.0000 5.8526 0.0000
0.0000 0.0000 3.7327
Al Cr I O
1 1 2 1
direct
0.0000 0.0000 0.0000 Al
0.5000 0.5000 0.5000 Cr
0.0000 0.5000 0.5000 I
0.5000 0.0000 0.5000 I
0.5000 0.5000 0.0000 O
```

Calculated values
- Volume: 127.9 Å³/cell
- Crystal system: tetragonal
- Calculated total energy: -4.2721 eV/atom
- Theoretical density: 4.5 g/cm3


Entry 4:
First-principles (PBE+U) data for an optimized crystal structure of Al2CrIO, as listed in Alexandria via LeMat-Bulk.

The structure in POSCAR format:
```
Al2CrIO
1.0
5.6228 0.0000 0.0000
0.0000 5.6228 0.0000
0.0000 0.0000 4.0113
Al Cr I O
2 1 1 1
direct
0.0000 0.5000 0.0000 Al
0.5000 0.0000 0.0000 Al
0.0000 0.0000 0.5000 Cr
0.5000 0.5000 0.0000 I
0.5000 0.5000 0.5000 O
```

Calculated values
- Volume: 126.8 Å³/cell
- Crystal system: tetragonal
- Calculated total energy: -3.5429 eV/atom
- Theoretical density: 3.3 g/cm3